DFT (PBE) results for a relaxed NaLiReCl6 crystal.

Cell lengths 6.4314, 6.4314, 12.3296 Å; angles 90.00, 90.00, 120.00 degrees
Closest atoms and distances in Å follow each position.
Space group P-31c (No. 163)
Unique sites:
Na (0.0000, 0.0000, 0.0000) (multiplicity 2)  6 Cl 2.89
Li (0.3333, 0.6667, 0.2500) (multiplicity 2)  6 Cl 2.57
Re (0.3333, 0.6667, 0.7500) (multiplicity 2)  6 Cl 2.38
Cl (0.0230, 0.3728, 0.6389) (multiplicity 12)  1 Re 2.38, 1 Li 2.57

Properties
Energy: -4.122 eV/atom
Uncorrected formation energy: -1.1482 eV per atom

=====

DFT (PBE) results for a relaxed ReIrRh6 crystal.

Cell lengths 3.8508, 3.8508, 7.7026 Å; angles 90.00, 90.00, 90.00 degrees
Closest atoms and distances in Å follow each position.
Space group P4/mmm (No. 123)
Unique sites:
Re (0.0000, 0.0000, 0.0000) (multiplicity 1)  12 Rh 2.70-2.72
Ir (0.0000, 0.0000, 0.5000) (multiplicity 1)  12 Rh 2.72-2.75
Rh (0.0000, 0.5000, 0.2458) (multiplicity 4)  8 Rh 2.70-2.75, 2 Re 2.70, 2 Ir 2.75
Rh (0.5000, 0.5000, 0.0000) (multiplicity 1)  8 Rh 2.70, 4 Re 2.72
Rh (0.5000, 0.5000, 0.5000) (multiplicity 1)  4 Ir 2.72, 8 Rh 2.75

Properties
Energy: -8.195 eV/atom
Calculated formation energy: -18 meV per atom

=====

DFT (PBE) results for a relaxed TiBeFeSn2 crystal.

Cell lengths 4.8163, 4.8163, 4.0311 Å; angles 90.00, 90.00, 90.00 degrees
Closest atoms and distances in Å follow each position.
Space group P4/mmm (No. 123)
Unique sites:
Ti (0.0000, 0.0000, 0.0000) (multiplicity 1)  8 Sn 3.14, 4 Be 3.41
Be (0.5000, 0.5000, 0.0000) (multiplicity 1)  2 Fe 2.02
Fe (0.5000, 0.5000, 0.5000) (multiplicity 1)  2 Be 2.02
Sn (0.0000, 0.5000, 0.5000) (multiplicity 2)  2 Fe 2.41

Properties
Energy: -5.101 eV/atom
Calculated formation energy: 517 meV per atom

=====

DFT (PBE) results for a relaxed Dy3HoSi4 crystal.

Cell lengths 3.9772, 6.2344, 15.5410 Å; angles 90.00, 90.00, 90.00 degrees
Closest atoms and distances in Å follow each position.
Space group Immm (No. 71)
Unique sites:
Dy (0.0000, 0.0000, 0.0000) (multiplicity 2)  8 Si 3.08
Dy (0.0000, 0.5000, 0.1942) (multiplicity 4)  6 Si 2.95
Ho (0.0000, 0.0000, 0.5000) (multiplicity 2)  4 Si 2.83
Si (0.0000, 0.3138, 0.3685) (multiplicity 8)  1 Si 2.32

Properties
Energy: -5.572 eV/atom
Uncorrected formation energy: -0.5626 eV per atom

=====

DFT (PBE) results for a relaxed CeYGaPb crystal.

Cell lengths 7.5419, 7.5419, 7.5419 Å; angles 90.00, 90.00, 90.00 degrees
Closest atoms and distances in Å follow each position.
Space group F-43m (No. 216)
Unique sites:
Ce (0.0000, 0.0000, 0.0000) (multiplicity 4)  4 Pb 3.27, 4 Ga 3.27
Y (0.0000, 0.0000, 0.5000) (multiplicity 4)  4 Pb 3.27, 4 Ga 3.27
Ga (0.2500, 0.2500, 0.7500) (multiplicity 4)  4 Ce 3.27, 4 Y 3.27
Pb (0.2500, 0.2500, 0.2500) (multiplicity 4)  4 Ce 3.27, 4 Y 3.27

Properties
Energy: -5.198 eV/atom
Calculated formation energy: -415 meV per atom

=====

DFT (PBE) results for a relaxed Fe3SiRu crystal.

Cell lengths 4.5471, 4.5471, 4.5471 Å; angles 90.00, 90.00, 90.00 degrees
Closest atoms and distances in Å follow each position.
Space group Pm-3m (No. 221)
Unique sites:
Fe (0.0000, 0.0000, 0.5000) (multiplicity 3)  2 Ru 2.27
Si (0.5000, 0.5000, 0.5000) (multiplicity 1)  12 Fe 3.22
Ru (0.0000, 0.0000, 0.0000) (multiplicity 1)  6 Fe 2.27

Properties
Energy: -6.532 eV/atom
Uncorrected formation energy: 1.4855 eV per atom